Below is crystalline AcNbFe2O6 at its relaxed geometry, with properties calculated at the GGA+U level.

Geometry as POSCAR:
```
AcNbFe2O6
1.0
5.553 -0.001 0.022
2.775 4.855 0.056
2.795 1.665 4.958
Nb O Ac Fe
1 6 1 2
direct
0.313 0.317 0.057
0.243 0.942 0.220
0.351 0.712 0.761
0.188 0.357 0.749
0.931 0.576 0.225
0.578 0.254 0.226
0.715 0.171 0.770
0.792 0.800 0.622
0.529 0.517 0.435
0.020 0.017 0.950
```

## Properties
SG: P1
DFT total energy, eV/atom: -7.82
Total magnetization, μB per formula unit: 8.01